Computed, not measured: a relaxed DyH2I4 crystal at the PBE level of DFT.

```
data_DyH2I4
_cell_length_a 4.1422
_cell_length_b 7.6935
_cell_length_c 8.5972
_cell_angle_alpha 100.99
_cell_angle_beta 103.94
_cell_angle_gamma 90.12
_space_group_name_H-M_alt 'P 1'
_space_group_IT_number 1
_space_group_name_Hall 'P 1'
loop_
_atom_site_label
_atom_site_type_symbol
_atom_site_fract_x
_atom_site_fract_y
_atom_site_fract_z
_atom_site_occupancy
Dy1 Dy 0.0000 0.0000 0.0000 1
H1 H 0.3546 0.6909 0.7110 1
H2 H 0.6454 0.3091 0.2890 1
I1 I 0.1471 0.3136 0.2931 1
I2 I 0.4169 0.1856 0.8322 1
I3 I 0.5831 0.8144 0.1678 1
I4 I 0.8529 0.6864 0.7069 1
```

Total moment (μB per atom): 0.07
E_tot (eV/atom): -3.040
Space group: P-1 (2)